11
Lattice="6.0890 0.0000 0.0000 -3.0445 5.2733 0.0000 0.0000 0.0000 11.6836" Properties=species:S:1:pos:R:3 comment="Pm5Ho5Tm | Alexandria | PBE | relaxed" formation_energy_ev_per_atom=0.302 sg="No. 187" dft_energy_ev_per_atom=-4.345 dos_ef_per_ev_cell=21.26 pbc="T T T"
Pm 3.0445 1.7578 1.7906
Pm 3.0445 1.7578 9.8931
Pm 0.0000 3.5155 3.6749
Pm 0.0000 3.5155 8.0087
Pm 0.0000 0.0000 0.0000
Ho 1.5255 0.8807 5.8418
Ho 0.0000 0.0000 3.1000
Ho 3.0445 3.5118 5.8418
Ho 4.5636 0.8807 5.8418
Ho 0.0000 0.0000 8.5837
Tm 0.0000 3.5155 0.0000

=====

4
Lattice="-2.3453 -1.7892 -2.2812 1.3132 -2.4312 -2.5041 -0.3254 -4.1745 6.6813" Properties=species:S:1:pos:R:3 comment="Al2PtBr | Alexandria | PBE | relaxed" relative_energy_ev_per_atom=0.000 raw_formation_energy_ev_per_atom=-0.6223 sg="No. 12" dft_energy_ev_per_atom=-4.422 dos_ef_per_ev_cell=1.74 pbc="T T T"
Br -1.0181 -6.2962 1.4221
Pt -0.3394 -2.0987 0.4740
Al -0.9123 -3.9525 -3.5909
Al -0.7985 -4.4653 -0.2463

=====

6
Lattice="12.0122 0.0000 0.0133 3.2032 1.7016 -2.8149 -3.2032 1.7016 2.8149" Properties=species:S:1:pos:R:3 comment="LiNiBr | Alexandria | PBE | relaxed" relative_energy_ev_per_atom=0.091 raw_formation_energy_ev_per_atom=-0.3620 sg="No. 8" dft_energy_ev_per_atom=-3.485 dos_ef_per_ev_cell=0.00 pbc="T T T"
Ni 3.9334 1.7016 -0.3942
Ni 0.0734 1.7016 0.8912
Br 8.1293 1.7016 2.1738
Br 7.9172 1.7016 -1.6223
Li 10.3911 1.7016 -2.4889
Li 5.1312 1.7016 -2.6587

=====

5
Lattice="5.8807 0.0000 0.0000 0.0000 5.8807 0.0000 0.0000 0.0000 5.7924" Properties=species:S:1:pos:R:3 comment="KCrSe2Br | Alexandria | PBE | relaxed" relative_energy_ev_per_atom=1.406 raw_formation_energy_ev_per_atom=0.7821 sg="No. 123" dft_energy_ev_per_atom=-3.091 dos_ef_per_ev_cell=5.36 pbc="T T T"
Cr 2.9403 2.9403 2.8962
K 0.0000 0.0000 0.0000
Se 0.0000 2.9403 0.0000
Se 2.9403 0.0000 0.0000
Br 0.0000 0.0000 2.8962

=====

8
Lattice="-0.9433 -2.2387 -2.3207 1.6154 -2.4208 1.6787 -11.6412 -2.6885 7.3254" Properties=species:S:1:pos:R:3 comment="Y3ZrRh4 | Alexandria | PBE | relaxed" formation_energy_ev_per_atom=-0.829 sg="No. 123" dft_energy_ev_per_atom=-7.997 dos_ef_per_ev_cell=4.37 pbc="T T T"
Y -2.5337 -2.9925 1.4848
Y -5.4846 -3.6740 3.3417
Y -8.4355 -4.3555 5.1985
Rh -10.3582 -2.3922 6.5180
Rh -1.2830 -0.2963 0.8074
Rh -4.3288 -0.9997 2.7239
Rh -7.3124 -1.6888 4.6014
Zr 0.3360 -2.3298 -0.3210

=====

26
Lattice="-6.0239 2.3189 -1.3918 -4.2864 -4.3346 11.3298 2.6230 9.6182 4.6722" Properties=species:S:1:pos:R:3 comment="K2Hg10Pb | Alexandria | PBE | relaxed" formation_energy_ev_per_atom=-0.078 sg="No. 55" dft_energy_ev_per_atom=-0.764 dos_ef_per_ev_cell=10.75 pbc="T T T"
K -2.9470 6.1543 7.3447
K -4.7403 1.4483 7.2654
K -4.8679 4.8020 13.4055
K -2.8193 2.8005 1.2046
Hg 0.6766 3.9431 3.6414
Hg -2.3399 1.3405 12.3606
Hg -2.6095 -2.4150 7.2705
Hg 0.9462 7.6986 8.7314
Hg 0.5415 5.3246 6.5276
Hg -2.2048 -0.0409 9.4743
Hg -0.1287 8.5176 5.9697
Hg -4.9107 -1.9344 9.2522
Hg -5.7231 4.4238 9.5918
Hg -4.6120 4.1980 4.4065
Hg -7.5585 -0.9151 8.6404
Hg -2.7766 9.5369 5.3579
Hg -1.9641 3.1788 5.0183
Hg -3.0753 3.4045 10.2036
Hg -3.3678 -1.4575 12.1478
Hg 1.7045 6.7411 3.8542
Hg -1.3804 0.1387 6.2055
Hg -0.2829 5.1449 9.7965
Hg -0.3985 0.8912 3.2094
Hg -1.2648 4.3924 12.7925
Pb -0.8317 2.6418 8.0010
Pb 0.0000 0.0000 0.0000